Record 1
A plane-wave DFT calculation with PBE was carried out for a geometry-optimized PmSm2Er2 structure.

Cell lengths 8.964, 8.964, 6.029 Å; angles 117.29, 117.29, 97.32 degrees
Element x y z (fractional)
Sm (0.391, 0.242, 0.015)
Sm (0.609, 0.758, 0.985)
Sm (0.242, 0.391, 0.515)
Sm (0.758, 0.609, 0.485)
Er (0.333, 0.667, 0.250)
Er (0.667, 0.333, 0.750)
Er (0.200, 0.800, 0.750)
Er (0.800, 0.200, 0.250)
Pm (0.932, 0.068, 0.750)
Pm (0.068, 0.932, 0.250)

- magnetic moment (μB/cell) = 0.0
- energy above the most stable polymorph in this dataset (meV per atom) = 152
- DFT formation energy (kJ/mol of formula units) = 134

Record 2
A plane-wave DFT calculation with PBE was carried out for a geometry-optimized Pm7SmEr4 structure.

Cell lengths 5.972, 9.701, 8.585 Å; angles 61.66, 69.65, 72.07 degrees
Site moments in Bohr magnetons follow the coordinates.
Element x y z (fractional)
Pm (0.500, 0.000, 0.000)  0.06
Pm (0.086, 0.549, 0.279)  0.00
Pm (0.786, 0.885, 0.544)  0.00
Pm (0.914, 0.451, 0.721)  0.00
Pm (0.787, 0.240, 0.186)  0.00
Pm (0.214, 0.115, 0.456)  0.00
Pm (0.213, 0.760, 0.814)  0.00
Sm (0.000, 0.000, 0.000)  0.06
Er (0.330, 0.382, 0.957)  0.00
Er (0.571, 0.301, 0.557)  0.00
Er (0.670, 0.618, 0.043)  0.00
Er (0.429, 0.699, 0.443)  0.00

- magnetic moment (μB/cell) = 0.2
- energy above the most stable polymorph in this dataset (meV per atom) = 210
- DFT formation energy (kJ/mol of formula units) = 244

Record 3
A plane-wave DFT calculation with PBE was carried out for a geometry-optimized PmSm2Er9 structure.

Cell lengths 3.501, 11.186, 11.186 Å; angles 120.00, 90.00, 90.00 degrees
Element x y z (fractional)
Er (0.500, 0.647, 0.824)
Er (0.000, 0.500, 0.500)
Er (0.000, 0.500, 0.000)
Er (0.500, 0.176, 0.824)
Er (0.500, 0.353, 0.176)
Er (0.500, 0.176, 0.353)
Er (0.500, 0.824, 0.176)
Er (0.500, 0.824, 0.647)
Er (0.000, 0.000, 0.500)
Sm (0.000, 0.667, 0.333)
Sm (0.000, 0.333, 0.667)
Pm (0.000, 0.000, 0.000)

- magnetic moment (μB/cell) = 0.0
- energy above the most stable polymorph in this dataset (meV per atom) = 33
- DFT formation energy (kJ/mol of formula units) = 65

Record 4
A plane-wave DFT calculation with PBE was carried out for a geometry-optimized Pm7Sm16Er6 structure.

Cell lengths 11.288, 11.288, 11.288 Å; angles 60.00, 60.00, 60.00 degrees
Element x y z (fractional)
Sm (0.874, 0.874, 0.874)
Sm (0.377, 0.874, 0.874)
Sm (0.350, 0.350, 0.350)
Sm (0.650, 0.650, 0.049)
Sm (0.623, 0.126, 0.126)
Sm (0.126, 0.126, 0.623)
Sm (0.350, 0.350, 0.951)
Sm (0.874, 0.377, 0.874)
Sm (0.049, 0.650, 0.650)
Sm (0.350, 0.951, 0.350)
Sm (0.650, 0.650, 0.650)
Sm (0.126, 0.126, 0.126)
Sm (0.650, 0.049, 0.650)
Sm (0.126, 0.623, 0.126)
Sm (0.951, 0.350, 0.350)
Sm (0.874, 0.874, 0.377)
Er (0.736, 0.264, 0.736)
Er (0.736, 0.736, 0.264)
Er (0.264, 0.736, 0.264)
Er (0.736, 0.264, 0.264)
Er (0.264, 0.264, 0.736)
Er (0.264, 0.736, 0.736)
Pm (0.000, 0.000, 0.000)
Pm (0.500, 0.000, 0.000)
Pm (0.500, 0.500, 0.000)
Pm (0.000, 0.000, 0.500)
Pm (0.500, 0.000, 0.500)
Pm (0.000, 0.500, 0.500)
Pm (0.000, 0.500, 0.000)

- magnetic moment (μB/cell) = 0.0
- DFT formation energy (kJ/mol of formula units) = 664